(1)
{
  "formula": "BaLiMo2",
  "functional": "PBE",
  "state": "optimized geometry",
  "lattice": [[3.298, 0.000, 0.000], [0.000, 4.974, 0.000], [-1.352, 0.000, 6.104]],
  "species": ["Ba", "Li", "Mo", "Mo"],
  "frac_coords": [[0.000, 0.000, 0.000], [0.500, 0.000, 0.500], [0.306, 0.500, 0.639], [0.694, 0.500, 0.361]],
  "spacegroup": "P2/m, No. 10",
  "vol_a3_per_atom": 25.03,
  "de_polymorph_ev_per_atom": 0.301,
  "total_magnetization_mub_per_fu": 0.00
}

***

(2)
{
  "formula": "TbPmSbO2",
  "functional": "PBE",
  "state": "optimized geometry",
  "lattice": [[-1.960, 1.960, 6.793], [1.960, -1.960, 6.793], [1.960, 1.960, -6.793]],
  "species": ["Tb", "Pm", "Sb", "O", "O"],
  "frac_coords": [[0.000, 0.000, 0.000], [0.671, 0.671, 0.000], [0.336, 0.336, 0.000], [0.081, 0.581, 0.500], [0.581, 0.081, 0.500]],
  "spacegroup": "I4mm, No. 107",
  "vol_a3_per_atom": 20.88,
  "raw_formation_energy_ev_per_atom": -2.66,
  "total_magnetization_mub_per_fu": 0.00
}